Here is crystalline Re2PbBr at its relaxed geometry from Alexandria. Energies are from PBE.

a b c (Å): 2.950 4.903 5.227
angles (deg): 90.00 90.00 90.00
Space group Pmmm (No. 47)
Unique sites:
Re 0.000 0.000 0.000 x1
Re 0.500 0.000 0.500 x1
Pb 0.000 0.500 0.500 x1
Br 0.500 0.500 0.000 x1

Properties
Electronic total energy (eV/atom): -6.1585
Formation energy (no corrections) (eV/f.u.): 5.643
Offset from the most stable computed form (eV/atom): 1.105